Compound: LiTlCuTc
Source: the Open Quantum Materials Database
Functional: PBE
Structure: optimized geometry

a = 6.2655 Å, b = 6.2655 Å, c = 6.2655 Å
α = 90.00°, β = 90.00°, γ = 90.00°
Last column: nearest neighbours and their distance in Å.
Space group F-43m (No. 216)
Asymmetric unit:
Li1 0.0000 0.0000 0.0000 [4 per cell]  4 Tl 2.71, 4 Tc 2.71
Tl1 0.2500 0.2500 0.2500 [4 per cell]  4 Li 2.71, 4 Cu 2.71
Cu1 0.0000 0.0000 0.5000 [4 per cell]  4 Tl 2.71, 4 Tc 2.71
Tc1 0.2500 0.2500 0.7500 [4 per cell]  4 Li 2.71, 4 Cu 2.71

Relative energy among the computed polymorphs in meV/atom: 0
M_tot in μB per formula unit: 2.0

---

Compound: LiTlCuTc
Source: the Open Quantum Materials Database
Functional: PBE
Structure: optimized geometry

a = 6.3470 Å, b = 6.3470 Å, c = 6.3470 Å
α = 90.00°, β = 90.00°, γ = 90.00°
Last column: nearest neighbours and their distance in Å.
Space group F-43m (No. 216)
Asymmetric unit:
Li1 0.0000 0.0000 0.0000 [4 per cell]  4 Tc 2.75, 4 Cu 2.75
Tl1 0.0000 0.0000 0.5000 [4 per cell]  4 Cu 2.75, 4 Tc 2.75
Cu1 0.2500 0.2500 0.7500 [4 per cell]  4 Li 2.75, 4 Tl 2.75
Tc1 0.2500 0.2500 0.2500 [4 per cell]  4 Tl 2.75, 4 Li 2.75

Relative energy among the computed polymorphs in meV/atom: 72
M_tot in μB per formula unit: 1.4

---

Compound: Li2CuTe2
Source: the Open Quantum Materials Database
Functional: PBE
Structure: optimized geometry

a = 9.2589 Å, b = 4.0666 Å, c = 5.9538 Å
α = 90.00°, β = 104.99°, γ = 90.00°
Last column: nearest neighbours and their distance in Å.
Space group C2/m (No. 12)
Asymmetric unit:
Li1 0.1667 0.0000 0.2937 [4 per cell]  5 Te 2.77-3.05, 3 Cu 3.00-3.01
Cu1 0.0000 0.5000 0.5000 [2 per cell]  4 Te 2.72, 6 Li 3.00-3.01
Te1 0.1407 0.0000 0.7728 [4 per cell]  2 Cu 2.72, 4 Li 2.77-2.92

Electronic total energy in eV/atom: -3.30

---

Compound: Li3CuTe2
Source: the Open Quantum Materials Database
Functional: PBE
Structure: optimized geometry

a = 6.4221 Å, b = 12.4261 Å, c = 6.7898 Å
α = 90.00°, β = 90.00°, γ = 90.00°
Last column: nearest neighbours and their distance in Å.
Space group Ibam (No. 72)
Asymmetric unit:
Li1 0.0000 0.0000 0.2500 [4 per cell]  4 Te 2.76
Li2 0.0000 0.2742 0.2500 [8 per cell]  4 Te 2.73-2.81
Cu1 0.0000 0.5000 0.0000 [4 per cell]  2 Te 2.45
Te1 0.2191 0.1337 0.0000 [8 per cell]  1 Cu 2.45, 2 Li 2.73

Electronic total energy in eV/atom: -3.33